TaCr2O6: relaxed, GGA+U.

```
data_TaCr2O6
_chemical_formula_sum 'Ta1 Cr2 O6'
_cell_length_a 4.9779
_cell_length_b 4.9779
_cell_length_c 4.4465
_cell_angle_alpha 90.00
_cell_angle_beta 90.00
_cell_angle_gamma 120.00
_space_group_name_H-M_alt 'P 1'
_space_group_IT_number 1
_space_group_name_Hall 'P 1'
loop_
_atom_site_label
_atom_site_fract_x
_atom_site_fract_y
_atom_site_fract_z
_atom_site_occupancy
Ta1 0.0000 0.0000 0.0000 1
Cr1 0.3333 0.6667 0.5000 1
Cr2 0.6667 0.3333 0.5000 1
O1 0.0000 0.3327 0.7430 1
O2 0.0000 0.6673 0.2570 1
O3 0.3327 0.0000 0.7430 1
O4 0.3327 0.3327 0.2570 1
O5 0.6673 0.0000 0.2570 1
O6 0.6673 0.6673 0.7430 1
```

Properties
ρ: 6.63 Mg/m³
raw total energy: -75.8 eV/cell
N(E_F): 4.683 states/eV per cell

---

TbTaCr2O6: relaxed, GGA+U.

```
data_TbTaCr2O6
_chemical_formula_sum 'Tb1 Ta1 Cr2 O6'
_cell_length_a 5.3769
_cell_length_b 5.3935
_cell_length_c 5.7588
_cell_angle_alpha 62.97
_cell_angle_beta 89.98
_cell_angle_gamma 61.02
_space_group_name_H-M_alt 'P 1'
_space_group_IT_number 1
_space_group_name_Hall 'P 1'
loop_
_atom_site_label
_atom_site_fract_x
_atom_site_fract_y
_atom_site_fract_z
_atom_site_occupancy
Tb1 0.0000 0.0000 0.0000 1
Ta1 0.5159 0.9724 0.5306 1
Cr1 0.2057 0.5879 0.6056 1
Cr2 0.7125 0.5648 0.1367 1
O1 0.1623 0.0467 0.3446 1
O2 0.3068 0.1088 0.7866 1
O3 0.4422 0.4215 0.3389 1
O4 0.5874 0.5068 0.8191 1
O5 0.7895 0.7786 0.3404 1
O6 0.8978 0.7600 0.8227 1
```

Properties
ρ: 7.18 Mg/m³
raw total energy: -85.2 eV/cell

---

TbTaCrO6: relaxed, GGA+U.

```
data_TbTaCrO6
_chemical_formula_sum 'Tb2 Ta2 Cr2 O12'
_cell_length_a 4.8223
_cell_length_b 4.8223
_cell_length_c 9.5535
_cell_angle_alpha 90.00
_cell_angle_beta 90.00
_cell_angle_gamma 90.00
_space_group_name_H-M_alt 'P 1'
_space_group_IT_number 1
_space_group_name_Hall 'P 1'
loop_
_atom_site_label
_atom_site_fract_x
_atom_site_fract_y
_atom_site_fract_z
_atom_site_occupancy
Tb1 0.0000 0.0000 0.0000 1
Tb2 0.5000 0.5000 0.5000 1
Ta1 0.0000 0.0000 0.3391 1
Ta2 0.5000 0.5000 0.8391 1
Cr1 0.0000 0.0000 0.6714 1
Cr2 0.5000 0.5000 0.1714 1
O1 0.1757 0.1757 0.5081 1
O2 0.2100 0.2100 0.8179 1
O3 0.2154 0.2154 0.1916 1
O4 0.2846 0.7154 0.6916 1
O5 0.2900 0.7100 0.3179 1
O6 0.3243 0.6757 0.0081 1
O7 0.6757 0.3243 0.0081 1
O8 0.7100 0.2900 0.3179 1
O9 0.7154 0.2846 0.6916 1
O10 0.7846 0.7846 0.1916 1
O11 0.7900 0.7900 0.8179 1
O12 0.8243 0.8243 0.5081 1
```

Properties
ρ: 7.29 Mg/m³
raw total energy: -153.9 eV/cell
N(E_F): 0.076 states/eV per cell

---

TaTiCrO6: relaxed, GGA+U.

```
data_TaTiCrO6
_chemical_formula_sum 'Ta2 Ti2 Cr2 O12'
_cell_length_a 5.0964
_cell_length_b 5.0964
_cell_length_c 8.7946
_cell_angle_alpha 90.00
_cell_angle_beta 90.00
_cell_angle_gamma 120.00
_space_group_name_H-M_alt 'P 1'
_space_group_IT_number 1
_space_group_name_Hall 'P 1'
loop_
_atom_site_label
_atom_site_fract_x
_atom_site_fract_y
_atom_site_fract_z
_atom_site_occupancy
Ta1 0.3333 0.6667 0.2500 1
Ta2 0.6667 0.3333 0.7500 1
Ti1 0.3333 0.6667 0.7500 1
Ti2 0.6667 0.3333 0.2500 1
Cr1 0.0000 0.0000 0.0000 1
Cr2 0.0000 0.0000 0.5000 1
O1 0.0030 0.3402 0.6300 1
O2 0.0030 0.6628 0.8700 1
O3 0.3372 0.3402 0.8700 1
O4 0.3372 0.9970 0.6300 1
O5 0.3402 0.0030 0.1300 1
O6 0.3402 0.3372 0.3700 1
O7 0.6598 0.6628 0.6300 1
O8 0.6598 0.9970 0.8700 1
O9 0.6628 0.0030 0.3700 1
O10 0.6628 0.6598 0.1300 1
O11 0.9970 0.3372 0.1300 1
O12 0.9970 0.6598 0.3700 1
```

Properties
ρ: 6.33 Mg/m³
raw total energy: -160.3 eV/cell

---

Which of these has the highest ρ? TbTaCrO6

---

The highest raw total energy belongs to which entry? TaCr2O6

---

The lowest ρ belongs to which entry? TaTiCrO6